Entry from the Alexandria database: Zn2FePb after structural relaxation (GGA-PBE).

a b c (Å): 5.2020 5.2020 4.7616
angles (deg): 73.53 73.53 35.65
Closest atoms and distances in Å follow each position.
Positions (direct):
Fe 0.7500 0.7500 0.7500  4 Zn 2.65, 4 Pb 2.86
Pb 0.2500 0.2500 0.2500  4 Fe 2.86, 6 Zn 2.99-3.13, 2 Pb 3.19
Zn 0.0272 0.0272 0.9434  2 Zn 2.61, 2 Fe 2.65
Zn 0.4728 0.4728 0.5566  2 Zn 2.61, 2 Fe 2.65

Calculated values
Energy of formation from the pure elements = 352.8 meV per atom

Entry from the Alexandria database: ZnFePb2 after structural relaxation (GGA-PBE).

a b c (Å): 6.9387 6.9387 6.9387
angles (deg): 154.18 141.35 47.07
Closest atoms and distances in Å follow each position.
Positions (direct):
Fe 0.2606 0.7606 0.5000  2 Zn 2.63, 4 Pb 2.77
Pb 0.0530 0.0530 0.0000  2 Fe 3.06, 2 Pb 3.10, 4 Zn 3.20
Pb 0.7588 0.2588 0.5000  4 Fe 2.77, 2 Pb 3.10
Zn 0.4276 0.4276 0.0000  2 Fe 2.63

Calculated values
Energy of formation from the pure elements = 385.4 meV per atom

Entry from the Alexandria database: Zn2FePb after structural relaxation (GGA-PBE).

a b c (Å): 4.6120 4.6120 5.7731
angles (deg): 79.60 79.60 38.07
Closest atoms and distances in Å follow each position.
Positions (direct):
Fe 0.4909 0.4909 0.5578  5 Zn 2.61-2.72, 2 Pb 2.90
Pb 0.2443 0.2443 0.2770  3 Fe 2.90-2.93, 2 Pb 3.01, 5 Zn 3.10-3.17
Zn 0.0104 0.0104 0.9209  2 Fe 2.61, 3 Zn 2.63-2.65
Zn 0.7544 0.7544 0.7444  3 Fe 2.61-2.72, 3 Zn 2.63-2.65

Calculated values
Energy of formation from the pure elements = 349.4 meV per atom

Entry from the Alexandria database: Zn2FePb after structural relaxation (GGA-PBE).

a b c (Å): 5.1256 5.1256 5.1256
angles (deg): 133.99 133.83 67.23
Closest atoms and distances in Å follow each position.
Positions (direct):
Fe 0.5008 0.5008 0.0000  8 Zn 2.84-2.95, 4 Pb 2.93
Pb 0.2508 0.7508 0.5000  8 Zn 2.84-2.93, 4 Fe 2.93
Zn 0.0000 0.0000 0.0000  4 Fe 2.84, 4 Zn 2.92-2.94, 4 Pb 2.93
Zn 0.7484 0.2484 0.5000  4 Pb 2.84, 4 Fe 2.91-2.95, 4 Zn 2.92-2.94

Calculated values
Energy of formation from the pure elements = 360.5 meV per atom

Entry from the Alexandria database: Zn2FePb after structural relaxation (GGA-PBE).

a b c (Å): 4.0966 4.0917 4.1810
angles (deg): 90.00 90.00 90.00
Closest atoms and distances in Å follow each position.
Positions (direct):
Fe 0.5000 0.0000 0.5000  4 Pb 2.89, 8 Zn 2.93
Pb 0.0000 0.5000 0.5000  4 Fe 2.89, 8 Zn 2.93
Zn 0.0000 0.0000 0.0000  4 Zn 2.89, 4 Pb 2.93, 4 Fe 2.93
Zn 0.5000 0.5000 0.0000  4 Zn 2.89, 4 Fe 2.93, 4 Pb 2.93

Calculated values
Energy of formation from the pure elements = 395.3 meV per atom

Entry from the Alexandria database: Zn2FePb after structural relaxation (GGA-PBE).

a b c (Å): 4.1438 3.1109 5.7248
angles (deg): 89.86 90.00 90.00
Closest atoms and distances in Å follow each position.
Positions (direct):
Fe 0.0000 0.3739 0.4766  4 Zn 2.57-2.60
Pb 0.5000 0.8733 0.7017  4 Fe 2.89, 2 Pb 3.11, 2 Zn 3.16
Zn 0.0000 0.8764 0.1194  2 Fe 2.57, 4 Zn 2.63
Zn 0.5000 0.3764 0.2023  2 Fe 2.60, 4 Zn 2.63

Calculated values
Energy of formation from the pure elements = 312.4 meV per atom

Entry from the Alexandria database: Zn2FePb after structural relaxation (GGA-PBE).

a b c (Å): 5.2262 5.2262 5.2262
angles (deg): 135.69 135.69 64.46
Closest atoms and distances in Å follow each position.
Positions (direct):
Fe 0.2500 0.7500 0.5000  4 Pb 2.79, 8 Zn 2.96
Pb 0.7500 0.2500 0.5000  4 Fe 2.79, 8 Zn 2.96
Zn 0.0000 0.0000 0.0000  4 Zn 2.79, 4 Pb 2.96, 4 Fe 2.96
Zn 0.5000 0.5000 0.0000  4 Zn 2.79, 4 Fe 2.96, 4 Pb 2.96

Calculated values
Energy of formation from the pure elements = 372.2 meV per atom

Entry from the Alexandria database: ZnFePb2 after structural relaxation (GGA-PBE).

a b c (Å): 5.0940 5.0940 5.0940
angles (deg): 60.00 60.00 60.00
Closest atoms and distances in Å follow each position.
Positions (direct):
Fe 0.5000 0.5000 0.5000  4 Pb 3.12, 4 Zn 3.12
Pb 0.0000 0.0000 0.0000  4 Pb 3.12, 4 Zn 3.12
Pb 0.2500 0.2500 0.2500  4 Pb 3.12, 4 Fe 3.12
Zn 0.7500 0.7500 0.7500  4 Fe 3.12, 4 Pb 3.12

Calculated values
Energy of formation from the pure elements = 647.6 meV per atom

Entry from the Alexandria database: Zn2FePb after structural relaxation (GGA-PBE).

a b c (Å): 4.1804 4.1804 4.1101
angles (deg): 90.00 90.00 98.37
Closest atoms and distances in Å follow each position.
Positions (direct):
Fe 0.5000 0.0000 0.5000  2 Pb 2.73, 8 Zn 2.93
Pb 0.0000 0.5000 0.5000  2 Fe 2.73, 8 Zn 2.93
Zn 0.0000 0.0000 0.0000  2 Zn 2.73, 4 Pb 2.93, 4 Fe 2.93
Zn 0.5000 0.5000 0.0000  2 Zn 2.73, 4 Fe 2.93, 4 Pb 2.93

Calculated values
Energy of formation from the pure elements = 396.9 meV per atom

Entry from the Alexandria database: ZnFePb2 after structural relaxation (GGA-PBE).

a b c (Å): 4.1130 3.9773 5.6214
angles (deg): 69.60 90.00 90.00
Closest atoms and distances in Å follow each position.
Positions (direct):
Fe 0.5000 0.5517 0.7699  2 Zn 2.55
Pb 0.0000 0.9803 0.9152  4 Fe 2.96, 3 Zn 3.00-3.03
Pb 0.5000 0.2725 0.3304  3 Fe 2.95-3.06, 4 Zn 2.97-2.98
Zn 0.0000 0.6955 0.4845  2 Fe 2.55

Calculated values
Energy of formation from the pure elements = 312.2 meV per atom

Entry from the Alexandria database: ZnFePb2 after structural relaxation (GGA-PBE).

a b c (Å): 8.6986 8.6986 8.6986
angles (deg): 23.15 23.15 23.15
Closest atoms and distances in Å follow each position.
Positions (direct):
Fe 0.7500 0.7500 0.7500  6 Pb 2.79
Pb 0.0076 0.0076 0.0076  3 Fe 2.79, 3 Zn 3.06
Pb 0.4924 0.4924 0.4924  3 Fe 2.79, 3 Zn 3.06
Zn 0.2500 0.2500 0.2500  6 Pb 3.06

Calculated values
Energy of formation from the pure elements = 442.7 meV per atom

Entry from the Alexandria database: ZnFePb2 after structural relaxation (GGA-PBE).

a b c (Å): 3.2295 3.2295 8.8165
angles (deg): 90.00 90.00 97.47
Closest atoms and distances in Å follow each position.
Positions (direct):
Fe 0.5000 0.5000 0.7500  8 Pb 2.88-3.11
Pb 0.0000 0.0000 0.9700  4 Fe 2.88-3.11
Pb 0.0000 0.0000 0.5300  4 Fe 2.88-3.11
Zn 0.5000 0.5000 0.2500  4 Zn 3.23, 8 Pb 3.26-3.46

Calculated values
Energy of formation from the pure elements = 450.4 meV per atom

Entry from the Alexandria database: ZnFePb2 after structural relaxation (GGA-PBE).

a b c (Å): 5.1873 5.1873 3.2695
angles (deg): 90.00 90.00 89.98
Closest atoms and distances in Å follow each position.
Positions (direct):
Fe 0.0000 0.5000 0.5000  8 Pb 3.07, 2 Fe 3.27
Pb 0.0000 0.0000 0.0000  4 Fe 3.07, 4 Zn 3.07, 2 Pb 3.27
Pb 0.5000 0.5000 0.0000  4 Zn 3.07, 4 Fe 3.07, 2 Pb 3.27
Zn 0.5000 0.0000 0.5000  8 Pb 3.07, 2 Zn 3.27

Calculated values
Energy of formation from the pure elements = 487.5 meV per atom

Entry from the Alexandria database: ZnFePb2 after structural relaxation (GGA-PBE).

a b c (Å): 5.9721 5.9721 5.9721
angles (deg): 139.42 139.42 58.73
Closest atoms and distances in Å follow each position.
Positions (direct):
Fe 0.7500 0.2500 0.5000  4 Pb 2.93
Pb 0.0000 0.0000 0.0000  4 Zn 2.93
Pb 0.2500 0.7500 0.5000  4 Fe 2.93
Zn 0.5000 0.5000 0.0000  4 Pb 2.93

Calculated values
Energy of formation from the pure elements = 508.4 meV per atom

Entry from the Alexandria database: Zn2FePb after structural relaxation (GGA-PBE).

a b c (Å): 4.0806 4.0806 9.7779
angles (deg): 77.96 77.96 90.00
Closest atoms and distances in Å follow each position.
Positions (direct):
Pb 0.0000 0.0000 0.0000  4 Zn 2.87, 4 Fe 2.89
Pb 0.7500 0.2500 0.5000  4 Zn 2.87, 4 Fe 2.89
Zn 0.5510 0.1250 0.2500  2 Zn 2.50, 2 Fe 2.65
Zn 0.1990 0.6250 0.2500  2 Zn 2.50, 2 Fe 2.65
Zn 0.3750 0.4490 0.7500  2 Zn 2.50, 2 Fe 2.65
Zn 0.8750 0.8010 0.7500  2 Zn 2.50, 2 Fe 2.65
Fe 0.5000 0.5000 0.0000  4 Zn 2.65, 4 Pb 2.89
Fe 0.2500 0.7500 0.5000  4 Zn 2.65, 4 Pb 2.89

Calculated values
Energy of formation from the pure elements = 435.7 meV per atom